No. 1
This record from Alexandria describes a relaxed structure of KSn4Pd2. The functional is PBE-GGA.

The structure in POSCAR format:
```
KSn4Pd2
1.0
-0.057 2.331 -3.745
-1.276 -7.467 -4.629
-8.784 1.023 0.770
Sn K Pd
8 2 4
Direct
0.000 0.678 0.928 Sn
0.000 0.928 0.678 Sn
0.500 0.572 0.178 Sn
0.500 0.178 0.572 Sn
0.500 0.428 0.822 Sn
0.000 0.322 0.072 Sn
0.500 0.822 0.428 Sn
0.000 0.072 0.322 Sn
0.000 0.500 0.500 K
0.500 0.000 0.000 K
0.000 0.777 0.223 Pd
0.000 0.223 0.777 Pd
0.500 0.723 0.723 Pd
0.500 0.277 0.277 Pd
```

Its total energy is -4.226 eV/atom. The volume is 24.83 Å³ per atom. For the magnetization, the calculation gives 0.0 μB/cell. Its crystal system is tetragonal. Its distance to the lowest polymorph of the same formula is 0.596 eV per formula unit. As for the symmetry: P4_2/mnm, No. 136. The value obtained for the energy of formation from the pure elements is -0.298 eV per atom.


No. 2
This record from Alexandria describes a relaxed structure of RbBaNb. The functional is PBE-GGA.

The structure in POSCAR format:
```
RbBaNb
1.0
6.741 0.005 -0.017
1.726 8.707 -0.015
-3.099 3.246 4.809
Ba Nb Rb
2 2 2
Direct
0.943 0.834 0.528 Ba
0.986 0.314 0.809 Ba
0.210 0.558 0.307 Nb
0.329 0.771 0.253 Nb
0.519 0.006 0.731 Rb
0.624 0.451 0.063 Rb
```

Its total energy is -3.451 eV/atom. The volume is 47.00 Å³ per atom. For the magnetization, the calculation gives 0.0 μB/cell. Its crystal system is triclinic. Its distance to the lowest polymorph of the same formula is 1.241 eV per formula unit. As for the symmetry: P1, No. 1. The value obtained for the energy of formation from the pure elements is 0.869 eV per atom.


No. 3
This record from Alexandria describes a relaxed structure of LiYLuGe. The functional is PBE-GGA.

The structure in POSCAR format:
```
LiYLuGe
1.0
4.966 0.000 0.000
2.483 4.301 0.000
2.483 1.434 4.055
Li Y Ge Lu
1 1 1 1
Direct
0.000 0.000 0.000 Li
0.250 0.250 0.250 Y
0.500 0.500 0.500 Ge
0.750 0.750 0.750 Lu
```

Its total energy is -4.775 eV/atom. The volume is 21.65 Å³ per atom. For the magnetization, the calculation gives 0.0 μB/cell. Its crystal system is cubic. As for the symmetry: F-43m, No. 216. The value obtained for the energy of formation from the pure elements is -0.396 eV per atom.


No. 4
This record from Alexandria describes a relaxed structure of Na2LiCrCl6. The functional is PBE-GGA.

The structure in POSCAR format:
```
Na2LiCrCl6
1.0
-3.652 4.256 -3.674
-6.315 1.391 1.770
-1.451 6.272 2.590
Cl Li Na Cr
6 1 2 1
Direct
0.101 0.453 0.776 Cl
0.670 0.101 0.776 Cl
0.988 0.563 0.254 Cl
0.194 0.989 0.254 Cl
0.453 0.670 0.776 Cl
0.563 0.194 0.254 Cl
0.807 0.807 0.578 Li
0.535 0.535 0.394 Na
0.024 0.024 0.929 Na
0.325 0.325 0.024 Cr
```

Its total energy is -4.028 eV/atom. The volume is 22.41 Å³ per atom. For the magnetization, the calculation gives 3.0 μB/cell. Its crystal system is trigonal. As for the symmetry: R3, No. 146.


No. 5
This record from Alexandria describes a relaxed structure of La2Hg2Se. The functional is PBE-GGA.

The structure in POSCAR format:
```
La2Hg2Se
1.0
-3.036 0.616 7.654
3.212 -7.374 1.868
3.654 1.920 1.295
La Hg Se
4 4 2
Direct
0.671 0.829 0.500 La
0.829 0.329 0.500 La
0.329 0.171 0.500 La
0.171 0.671 0.500 La
0.128 0.372 0.000 Hg
0.628 0.128 0.000 Hg
0.872 0.628 0.000 Hg
0.372 0.872 0.000 Hg
0.500 0.500 0.000 Se
0.000 0.000 0.000 Se
```

Its total energy is -3.405 eV/atom. The volume is 29.49 Å³ per atom. For the magnetization, the calculation gives 0.0 μB/cell. Its crystal system is tetragonal. Its distance to the lowest polymorph of the same formula is 1.089 eV per formula unit. As for the symmetry: P4/mbm, No. 127.


No. 6
This record from Alexandria describes a relaxed structure of Hf2Ni3. The functional is PBE-GGA.

The structure in POSCAR format:
```
Hf2Ni3
1.0
-3.618 -0.657 -3.317
4.142 -2.633 -0.299
-2.921 -5.070 4.191
Hf Ni
4 6
Direct
0.160 0.319 0.597 Hf
0.840 0.681 0.403 Hf
0.340 0.681 0.097 Hf
0.660 0.319 0.903 Hf
0.853 0.205 0.250 Ni
0.000 0.000 0.000 Ni
0.647 0.795 0.750 Ni
0.147 0.795 0.750 Ni
0.500 0.000 0.500 Ni
0.353 0.205 0.250 Ni
```

Its total energy is -7.878 eV/atom. The volume is 15.14 Å³ per atom. For the magnetization, the calculation gives 0.0 μB/cell. Its crystal system is orthorhombic. As for the symmetry: Cmce, No. 64. The value obtained for the energy of formation from the pure elements is -0.428 eV per atom.


No. 7
This record from Alexandria describes a relaxed structure of AcZn2Ga2. The functional is PBE-GGA.

The structure in POSCAR format:
```
AcZn2Ga2
1.0
4.444 0.000 0.000
0.000 4.444 0.000
0.000 0.000 10.706
Zn Ac Ga
4 2 4
Direct
0.500 0.000 0.868 Zn
0.500 0.500 0.500 Zn
0.000 0.500 0.132 Zn
0.000 0.000 0.500 Zn
0.000 0.500 0.749 Ac
0.500 0.000 0.251 Ac
0.500 0.500 0.000 Ga
0.000 0.000 0.000 Ga
0.500 0.000 0.630 Ga
0.000 0.500 0.370 Ga
```

Its total energy is -3.014 eV/atom. The volume is 21.14 Å³ per atom. For the magnetization, the calculation gives 0.0 μB/cell. Its crystal system is tetragonal. Its distance to the lowest polymorph of the same formula is 0.000 eV per formula unit. As for the symmetry: P4/nmm, No. 129. The value obtained for the energy of formation from the pure elements is -0.472 eV per atom.


No. 8
This record from Alexandria describes a relaxed structure of Ce3Bi3Sb. The functional is PBE-GGA.

The structure in POSCAR format:
```
Ce3Bi3Sb
1.0
-0.473 -0.059 8.139
6.878 -2.944 -3.240
3.082 7.774 0.020
Ce Bi Sb
6 6 2
Direct
0.510 0.905 0.735 Ce
0.905 0.510 0.735 Ce
0.095 0.490 0.265 Ce
0.926 0.926 0.217 Ce
0.490 0.095 0.265 Ce
0.074 0.074 0.783 Ce
0.565 0.565 0.331 Bi
0.840 0.160 0.500 Bi
0.796 0.204 0.000 Bi
0.435 0.435 0.669 Bi
0.160 0.840 0.500 Bi
0.204 0.796 0.000 Bi
0.713 0.713 0.900 Sb
0.287 0.287 0.100 Sb
```

Its total energy is -5.307 eV/atom. The volume is 35.56 Å³ per atom. For the magnetization, the calculation gives 5.7 μB/cell. Its crystal system is monoclinic. As for the symmetry: C2/m, No. 12.